A plane-wave DFT calculation with PBE was carried out for a relaxed CrAs3Pb crystal. Values from VASP.

The structure in Quantum ESPRESSO input format:
```
&SYSTEM
  ibrav = 0, nat = 5, ntyp = 3
/
ATOMIC_SPECIES
As 74.92 As.upf
Pb 207.20 Pb.upf
Cr 52.00 Cr.upf
CELL_PARAMETERS angstrom
-4.783 0.376 0.154
0.131 -0.289 4.789
0.384 4.776 0.278
ATOMIC_POSITIONS angstrom
As -2.391 0.188 0.077
As 0.192 2.388 0.139
As 0.066 -0.145 2.395
Pb -2.133 2.432 2.610
Cr 0.000 0.000 0.000
```

Values from the calculation:
Electronic total energy = -25.9 eV/f.u.
Calculated volume = 22.12 Å³/atom
Magnetic moment = 1.2 μB/f.u.
DFT formation energy = 0.275 eV per atom
Fermi-level density of states = 0.76 states/eV/atom